Entry 1:
{
  "formula": "Hf3PtS",
  "functional": "PBE-GGA",
  "state": "relaxed",
  "raw_formation_energy_ev_per_atom": -0.8004,
  "lattice": [[-0.709, -2.350, -5.231], [6.859, -5.055, 1.399], [-4.310, -6.564, 3.591]],
  "species": ["Hf", "Hf", "Hf", "Hf", "Hf", "Hf", "Hf", "Hf", "Hf", "Hf", "Hf", "Hf", "Pt", "Pt", "Pt", "Pt", "S", "S", "S", "S"],
  "fractional_positions": [[0.431, 0.527, 0.816], [0.069, 0.184, 0.473], [0.096, 0.977, 0.810], [0.909, 0.346, 0.911], [0.091, 0.654, 0.089], [0.409, 0.911, 0.346], [0.596, 0.810, 0.977], [0.569, 0.473, 0.184], [0.591, 0.089, 0.654], [0.904, 0.023, 0.190], [0.931, 0.816, 0.527], [0.404, 0.190, 0.023], [0.121, 0.352, 0.193], [0.621, 0.193, 0.352], [0.379, 0.807, 0.648], [0.879, 0.648, 0.807], [0.750, 0.735, 0.265], [0.250, 0.265, 0.735], [0.250, 0.921, 0.079], [0.750, 0.079, 0.921]]
}

Entry 2:
{
  "formula": "Ca3As2Pd9Rh",
  "functional": "PBE-GGA",
  "state": "relaxed",
  "ef_ev_per_atom": -0.287,
  "lattice": [[-5.876, 2.403, 2.324], [4.421, -2.823, 4.265], [3.504, 7.366, 1.243]],
  "species": ["Pd", "Pd", "Pd", "Pd", "Pd", "Pd", "Pd", "Pd", "Pd", "Rh", "Ca", "Ca", "Ca", "As", "As"],
  "fractional_positions": [[0.500, 0.000, 0.000], [0.198, 0.395, 0.391], [0.605, 0.802, 0.391], [0.000, 0.500, 0.000], [0.802, 0.198, 0.609], [0.198, 0.802, 0.391], [0.500, 0.500, 0.000], [0.802, 0.605, 0.609], [0.395, 0.198, 0.609], [0.000, 0.000, 0.500], [0.667, 0.333, 0.302], [0.333, 0.667, 0.698], [0.000, 0.000, 0.000], [0.667, 0.333, 0.831], [0.333, 0.667, 0.169]]
}

no.,total magnetic moment (μB/cell),DOS(E_F) (states/eV/atom)
1,0.00,0.707
2,0.00,0.694